# 1
First-principles (PBE) data for a relaxed Dy2MgNi crystal, as listed in the Alexandria database.

Total magnetic moment ... 0.000 μB per atom
Formation energy from the elements ... -0.251 eV/atom

Cell: 3.4425 3.4425 7.8961 Å, 90.00 90.00 90.00°
Element x y z (fractional)
Dy: 0.0000 0.0000 0.2028
Dy: 0.0000 0.0000 0.7972
Mg: 0.5000 0.5000 0.5000
Ni: 0.5000 0.5000 0.0000

# 2
First-principles (PBE) data for a relaxed Y3HgN crystal, as listed in the Alexandria database.

Total magnetic moment ... 0.000 μB per atom
Formation energy from raw total energies ... -0.857 eV per atom

Cell: 4.8713 4.7758 9.6494 Å, 90.00 90.00 90.00°
Element x y z (fractional)
Y: 0.2500 0.0000 0.1167
Y: 0.2500 0.0000 0.6210
Y: 0.2500 0.5000 0.3553
Y: 0.7500 0.0000 0.3790
Y: 0.7500 0.0000 0.8833
Y: 0.7500 0.5000 0.6447
Hg: 0.2500 0.5000 0.8775
Hg: 0.7500 0.5000 0.1225
N: 0.2500 0.0000 0.3576
N: 0.7500 0.0000 0.6424

total magnetic moment of number 1 (Dy2MgNi)? 0.000 μB per atom